A relaxed structure of NpSi2Ge, computed with PBE-GGA.

DOS at the Fermi energy	1.485	states/eV per atom
uncorrected formation energy	-0.093	eV per atom
calculated density	8.6	Mg/m³
total energy	-7.19	eV per atom

a = 5.7856 Å, b = 5.7674 Å, c = 5.7674 Å
α = 83.47°, β = 59.90°, γ = 59.90°
Sites, in units of the cell vectors:
Np  0.2500  0.2020  0.2980
Np  0.7500  0.7980  0.7020
Si  0.1898  0.3102  0.8102
Si  0.3102  0.6898  0.1898
Si  0.8102  0.6898  0.1898
Si  0.6898  0.3102  0.8102
Ge  0.7500  0.1935  0.3065
Ge  0.2500  0.8065  0.6935